Entry 1:
First-principles (PBE) data for an optimized crystal structure of Be3HgPb, as listed in Alexandria via LeMat-Bulk.

Values from the calculation:
For the energy, the calculation gives -1.775 eV per atom. Its excess energy over the best structure of this formula in the dataset is 418.1 meV/atom. Its space-group type is No. 221. Its energy relative to the elements is 122 kJ/mol of atoms.

Cell: 4.758 4.758 4.758 Å, 90.00 90.00 90.00°
Fractional coordinates of all 5 atoms:
Be 0.000 0.000 0.500
Be 0.000 0.500 0.000
Be 0.500 0.000 0.000
Hg 0.500 0.500 0.500
Pb 0.000 0.000 0.000

---

Entry 2:
First-principles (PBE) data for an optimized crystal structure of Tb2Pr6Ho3Mg, as listed in Alexandria via LeMat-Bulk.

Values from the calculation:
For the energy, the calculation gives -4.420 eV per atom. Its space-group type is No. 12. Its energy relative to the elements is 2 kJ/mol of atoms.

Cell: 6.270 6.270 11.839 Å, 95.08 95.08 120.03°
Fractional coordinates of all 12 atoms:
Tb 0.167 0.833 0.000
Tb 0.833 0.167 0.000
Pr 0.085 0.417 0.750
Pr 0.251 0.251 0.251
Pr 0.417 0.085 0.750
Pr 0.583 0.915 0.250
Pr 0.749 0.749 0.749
Pr 0.915 0.583 0.250
Ho 0.000 0.000 0.500
Ho 0.333 0.667 0.500
Ho 0.667 0.333 0.500
Mg 0.500 0.500 0.000

---

Entry 3:
First-principles (PBE) data for an optimized crystal structure of TbSi2Tc, as listed in Alexandria via LeMat-Bulk.

Values from the calculation:
For the energy, the calculation gives -7.162 eV per atom. Its excess energy over the best structure of this formula in the dataset is 0.0 meV/atom. Its space-group type is No. 62. The calculation puts the uncorrected formation energy at -0.70 eV per atom.

Cell: 7.218 3.929 10.061 Å, 90.00 90.00 90.00°
Fractional coordinates of all 16 atoms:
Tb 0.145 0.250 0.127
Tb 0.355 0.750 0.627
Tb 0.645 0.250 0.373
Tb 0.855 0.750 0.873
Si 0.155 0.250 0.813
Si 0.210 0.250 0.428
Si 0.290 0.750 0.928
Si 0.345 0.750 0.313
Si 0.655 0.250 0.687
Si 0.710 0.250 0.072
Si 0.790 0.750 0.572
Si 0.845 0.750 0.187
Tc 0.014 0.750 0.393
Tc 0.486 0.250 0.893
Tc 0.514 0.750 0.107
Tc 0.986 0.250 0.607

---

Entry 4:
First-principles (PBE) data for an optimized crystal structure of Ac3Np5H12, as listed in Alexandria via LeMat-Bulk.

Values from the calculation:
For the energy, the calculation gives -5.858 eV per atom. Its space-group type is No. 230.

Cell: 11.811 11.811 11.811 Å, 109.47 109.47 109.47°
Fractional coordinates of all 80 atoms:
Ac 0.125 0.250 0.375
Ac 0.125 0.375 0.750
Ac 0.250 0.375 0.125
Ac 0.250 0.875 0.625
Ac 0.375 0.125 0.250
Ac 0.375 0.750 0.125
Ac 0.625 0.250 0.875
Ac 0.625 0.875 0.750
Ac 0.750 0.125 0.375
Ac 0.750 0.625 0.875
Ac 0.875 0.625 0.250
Ac 0.875 0.750 0.625
Np 0.000 0.000 0.000
Np 0.000 0.000 0.500
Np 0.000 0.500 0.000
Np 0.000 0.500 0.500
Np 0.125 0.750 0.875
Np 0.125 0.875 0.250
Np 0.250 0.125 0.875
Np 0.250 0.625 0.375
Np 0.375 0.250 0.625
Np 0.375 0.625 0.750
Np 0.500 0.000 0.000
Np 0.500 0.000 0.500
Np 0.500 0.500 0.000
Np 0.500 0.500 0.500
Np 0.625 0.375 0.250
Np 0.625 0.750 0.375
Np 0.750 0.375 0.625
Np 0.750 0.875 0.125
Np 0.875 0.125 0.750
Np 0.875 0.250 0.125
H 0.055 0.216 0.138
H 0.055 0.339 0.917
H 0.078 0.716 0.661
H 0.078 0.862 0.417
H 0.083 0.638 0.422
H 0.083 0.945 0.661
H 0.138 0.055 0.216
H 0.138 0.583 0.922
H 0.161 0.216 0.578
H 0.161 0.445 0.583
H 0.216 0.138 0.055
H 0.216 0.578 0.161
H 0.284 0.339 0.922
H 0.284 0.445 0.362
H 0.339 0.917 0.055
H 0.339 0.922 0.284
H 0.362 0.284 0.445
H 0.362 0.578 0.917
H 0.417 0.078 0.862
H 0.417 0.839 0.555
H 0.422 0.083 0.638
H 0.422 0.839 0.784
H 0.445 0.362 0.284
H 0.445 0.583 0.161
H 0.555 0.417 0.839
H 0.555 0.638 0.716
H 0.578 0.161 0.216
H 0.578 0.917 0.362
H 0.583 0.161 0.445
H 0.583 0.922 0.138
H 0.638 0.422 0.083
H 0.638 0.716 0.555
H 0.661 0.078 0.716
H 0.661 0.083 0.945
H 0.716 0.555 0.638
H 0.716 0.661 0.078
H 0.784 0.422 0.839
H 0.784 0.862 0.945
H 0.839 0.555 0.417
H 0.839 0.784 0.422
H 0.862 0.417 0.078
H 0.862 0.945 0.784
H 0.917 0.055 0.339
H 0.917 0.362 0.578
H 0.922 0.138 0.583
H 0.922 0.284 0.339
H 0.945 0.661 0.083
H 0.945 0.784 0.862